1.
DFT (PBE-GGA) results for a relaxed Th8As4PS3 crystal.

It has space group R-3m (No. 166, hexagonal axes), with a = 8.3374 Å, b = 8.3374 Å, c = 20.3267 Å, α = 90.00°, β = 90.00° and γ = 120.00°. The distinct sites, in fractional coordinates, are Th at (0.0000, 0.0000, 0.2471), Th at (0.0016, 0.5008, 0.2467), As at (0.0000, 0.0000, 0.0000), As at (0.0000, 0.5000, 0.0000), P at (0.0000, 0.0000, 0.5000) and S at (0.0000, 0.5000, 0.5000).

For the formation energy (no corrections), the calculation gives -1.591 eV/atom.



2.
DFT (PBE-GGA) results for a relaxed Th8AsP3S4 crystal.

It has space group R-3m (No. 166, hexagonal axes), with a = 8.2511 Å, b = 8.2511 Å, c = 19.9552 Å, α = 90.00°, β = 90.00° and γ = 120.00°. The distinct sites, in fractional coordinates, are Th at (0.0000, 0.0000, 0.2488), Th at (0.0066, 0.5033, 0.7495), As at (0.0000, 0.0000, 0.5000), P at (0.0000, 0.5000, 0.5000), S at (0.0000, 0.0000, 0.0000) and S at (0.0000, 0.5000, 0.0000).

For the formation energy (no corrections), the calculation gives -1.702 eV/atom.